# PBE TaPPbCl2, optimized geometry
data_TaPPbCl2
_cell_length_a 5.2952
_cell_length_b 5.2952
_cell_length_c 5.4903
_cell_angle_alpha 90.00
_cell_angle_beta 90.00
_cell_angle_gamma 90.00
_symmetry_space_group_name_H-M 'P 4/m m m'
_symmetry_Int_Tables_number 123
_symmetry_space_group_name_Hall '-P 4 2'
loop_
_atom_site_label
_atom_site_type_symbol
_atom_site_fract_x
_atom_site_fract_y
_atom_site_fract_z
Ta1 Ta 0.0000 0.0000 0.0000
P1 P 0.5000 0.5000 0.0000
Pb1 Pb 0.5000 0.5000 0.5000
Cl1 Cl 0.0000 0.5000 0.5000
# - Energy above the lowest structure with this stoichiometry: 1222 meV/atom
# - Uncorrected formation energy: 1083 meV/atom
# - Total DFT energy (no corrections): -19.3 eV for the cell shown